1.
Density functional theory data (GGA-PBE) for a geometry-optimized CsRuN structure.

abc: 3.749 3.749 11.335
angles: 90.00 90.00 90.00
Fractional positions:
Cs (0.250, 0.250, 0.236)
Cs (0.750, 0.750, 0.764)
Ru (0.250, 0.750, 0.500)
Ru (0.750, 0.250, 0.500)
N (0.250, 0.250, 0.586)
N (0.750, 0.750, 0.414)

Computed properties:
- energy above the lowest structure with this stoichiometry (meV per atom) = 0
- raw formation energy (eV/atom) = 0.237

2.
Density functional theory data (GGA-PBE) for a geometry-optimized CaTcSeBr2 structure.

abc: 5.216 5.216 4.826
angles: 90.00 90.00 90.00
Fractional positions:
Ca (0.000, 0.000, 0.000)
Tc (0.500, 0.500, 0.500)
Se (0.500, 0.500, 0.000)
Br (0.000, 0.500, 0.500)
Br (0.500, 0.000, 0.500)

Computed properties:
- energy above the lowest structure with this stoichiometry (meV per atom) = 0
- raw formation energy (eV/atom) = -0.420

3.
Density functional theory data (GGA-PBE) for a geometry-optimized Sm4HoAl structure.

abc: 3.576 3.576 14.325
angles: 90.00 90.00 90.00
Fractional positions:
Sm (0.000, 0.000, 0.137)
Sm (0.000, 0.000, 0.863)
Sm (0.500, 0.500, 0.322)
Sm (0.500, 0.500, 0.678)
Ho (0.000, 0.000, 0.500)
Al (0.500, 0.500, 0.000)

Computed properties:
- energy above the lowest structure with this stoichiometry (meV per atom) = 0
- E_form (eV per atom) = -0.102

4.
Density functional theory data (GGA-PBE) for a geometry-optimized PuThCdPb structure.

abc: 7.726 7.726 7.726
angles: 90.00 90.00 90.00
Fractional positions:
Pu (0.000, 0.000, 0.000)
Pu (0.000, 0.500, 0.500)
Pu (0.500, 0.000, 0.500)
Pu (0.500, 0.500, 0.000)
Th (0.000, 0.000, 0.500)
Th (0.000, 0.500, 0.000)
Th (0.500, 0.000, 0.000)
Th (0.500, 0.500, 0.500)
Cd (0.250, 0.250, 0.750)
Cd (0.250, 0.750, 0.250)
Cd (0.750, 0.250, 0.250)
Cd (0.750, 0.750, 0.750)
Pb (0.250, 0.250, 0.250)
Pb (0.250, 0.750, 0.750)
Pb (0.750, 0.250, 0.750)
Pb (0.750, 0.750, 0.250)

Computed properties:
- E_form (eV per atom) = -0.057

5.
Density functional theory data (GGA-PBE) for a geometry-optimized LiThRuO6 structure.

abc: 4.965 4.965 9.831
angles: 90.00 90.00 90.00
Fractional positions:
Li (0.000, 0.000, 0.000)
Li (0.500, 0.500, 0.500)
Th (0.000, 0.000, 0.347)
Th (0.500, 0.500, 0.847)
Ru (0.000, 0.000, 0.679)
Ru (0.500, 0.500, 0.179)
O (0.183, 0.183, 0.828)
O (0.190, 0.190, 0.541)
O (0.232, 0.232, 0.179)
O (0.268, 0.732, 0.679)
O (0.310, 0.690, 0.041)
O (0.317, 0.683, 0.328)
O (0.683, 0.317, 0.328)
O (0.690, 0.310, 0.041)
O (0.732, 0.268, 0.679)
O (0.768, 0.768, 0.179)
O (0.810, 0.810, 0.541)
O (0.817, 0.817, 0.828)

Computed properties:
- raw formation energy (eV/atom) = -1.804

6.
Density functional theory data (GGA-PBE) for a geometry-optimized PPtBr2 structure.

abc: 4.917 4.917 3.255
angles: 90.00 90.00 90.00
Fractional positions:
P (0.000, 0.000, 0.000)
Pt (0.500, 0.500, 0.000)
Br (0.000, 0.500, 0.500)
Br (0.500, 0.000, 0.500)

Computed properties:
- raw formation energy (eV/atom) = 1.008

7.
Density functional theory data (GGA-PBE) for a geometry-optimized HgRhW2 structure.

abc: 9.759 2.953 4.711
angles: 90.00 102.02 90.00
Fractional positions:
Hg (0.000, 0.000, 0.000)
Hg (0.500, 0.500, 0.000)
Rh (0.000, 0.500, 0.500)
Rh (0.500, 0.000, 0.500)
W (0.242, 0.000, 0.732)
W (0.258, 0.500, 0.268)
W (0.742, 0.500, 0.732)
W (0.758, 0.000, 0.268)

Computed properties:
- E_form (eV per atom) = 0.421

8.
Density functional theory data (GGA-PBE) for a geometry-optimized Li5Ca2Hg structure.

abc: 6.036 6.036 12.177
angles: 90.00 90.00 90.00
Fractional positions:
Li (0.000, 0.000, 0.000)
Li (0.244, 0.244, 0.643)
Li (0.244, 0.756, 0.643)
Li (0.256, 0.256, 0.143)
Li (0.256, 0.744, 0.143)
Li (0.500, 0.500, 0.500)
Li (0.744, 0.256, 0.143)
Li (0.744, 0.744, 0.143)
Li (0.756, 0.244, 0.643)
Li (0.756, 0.756, 0.643)
Ca (0.000, 0.500, 0.385)
Ca (0.000, 0.500, 0.885)
Ca (0.500, 0.000, 0.385)
Ca (0.500, 0.000, 0.885)
Hg (0.000, 0.000, 0.789)
Hg (0.500, 0.500, 0.289)

Computed properties:
- energy above the lowest structure with this stoichiometry (meV per atom) = 51
- E_form (eV per atom) = -0.060